Compound: AlCrCdPd2
Source: Alexandria
Functional: PBE-GGA
Structure: relaxed

abc: 4.5804 4.7583 4.5804
angles: 90.00 90.00 90.00
Each line ends with the local moment (μB).
Sites, in units of the cell vectors:
Pd (0.0000, 0.0000, 0.5000)  0.03
Pd (0.5000, 0.0000, 0.0000)  0.03
Cd (0.5000, 0.5000, 0.5000)  -0.03
Al (0.0000, 0.0000, 0.0000)  -0.02
Cr (0.0000, 0.5000, 0.0000)  3.64

Energy, eV per formula unit: -22.89
Space group: P4/mmm (123)
DFT formation energy, kcal/mol of atoms: 8.2

=====

Compound: AlCrCdPt2
Source: Alexandria
Functional: PBE-GGA
Structure: relaxed

abc: 4.5765 4.5064 4.5765
angles: 90.00 90.00 90.00
Each line ends with the local moment (μB).
Sites, in units of the cell vectors:
Al (0.0000, 0.0000, 0.0000)  0.00
Pt (0.5000, 0.0000, 0.0000)  0.06
Pt (0.0000, 0.0000, 0.5000)  0.03
Cd (0.5000, 0.5000, 0.5000)  0.01
Cr (0.0000, 0.5000, 0.0000)  -0.20

Energy, eV per formula unit: -23.25
Space group: P4/mmm (123)
DFT formation energy, kcal/mol of atoms: 14.4

=====

Compound: AlCrCd2Pt
Source: Alexandria
Functional: PBE-GGA
Structure: relaxed

abc: 5.2063 4.6556 5.2063
angles: 90.00 90.00 90.00
Each line ends with the local moment (μB).
Sites, in units of the cell vectors:
Cd (0.5000, 0.0000, 0.0000)  0.02
Cd (0.0000, 0.0000, 0.5000)  0.01
Pt (0.0000, 0.5000, 0.0000)  0.05
Al (0.5000, 0.5000, 0.5000)  0.00
Cr (0.0000, 0.0000, 0.0000)  3.03

Energy, eV per formula unit: -17.22
Space group: P4/mmm (123)
DFT formation energy, kcal/mol of atoms: 18.5

=====

Compound: AlCrCdTe2
Source: Alexandria
Functional: PBE-GGA
Structure: relaxed

abc: 5.4695 5.0385 5.4695
angles: 90.00 90.00 90.00
Each line ends with the local moment (μB).
Sites, in units of the cell vectors:
Al (0.0000, 0.0000, 0.0000)  0.02
Te (0.5000, 0.0000, 0.0000)  -0.10
Te (0.0000, 0.0000, 0.5000)  -0.12
Cd (0.0000, 0.5000, 0.0000)  0.01
Cr (0.5000, 0.5000, 0.5000)  4.23

Energy, eV per formula unit: -17.74
Uncorrected formation energy, eV/atom: 0.57
Space group: P4/mmm (123)

=====

Compound: TiAlCrCd2
Source: Alexandria
Functional: PBE-GGA
Structure: relaxed

abc: 4.9244 4.9047 4.9244
angles: 90.00 90.00 90.00
Each line ends with the local moment (μB).
Sites, in units of the cell vectors:
Cd (0.5000, 0.0000, 0.0000)  -0.01
Cd (0.0000, 0.0000, 0.5000)  -0.02
Cr (0.5000, 0.5000, 0.5000)  4.03
Ti (0.0000, 0.5000, 0.0000)  -0.08
Al (0.0000, 0.0000, 0.0000)  -0.01

Energy, eV per formula unit: -18.47
Space group: P4/mmm (123)
DFT formation energy, kcal/mol of atoms: 21.3

=====

Compound: YAlCrCd2
Source: Alexandria
Functional: PBE-GGA
Structure: relaxed

abc: 5.7776 5.2580 5.7776
angles: 90.00 90.00 90.00
Each line ends with the local moment (μB).
Sites, in units of the cell vectors:
Al (0.5000, 0.5000, 0.5000)  -0.01
Cd (0.0000, 0.0000, 0.5000)  -0.01
Cd (0.5000, 0.0000, 0.0000)  -0.04
Cr (0.0000, 0.5000, 0.0000)  3.68
Y (0.0000, 0.0000, 0.0000)  -0.13

Energy, eV per formula unit: -15.12
Space group: P4/mmm (123)
DFT formation energy, kcal/mol of atoms: 30.2

=====

Compound: CsAl3Cd
Source: Alexandria
Functional: PBE-GGA
Structure: relaxed

abc: 5.4572 5.4572 5.4572
angles: 90.00 90.00 90.00
Sites, in units of the cell vectors:
Al (0.5000, 0.0000, 0.0000)
Al (0.0000, 0.0000, 0.5000)
Al (0.0000, 0.5000, 0.0000)
Cd (0.0000, 0.0000, 0.0000)
Cs (0.5000, 0.5000, 0.5000)

Energy, eV per formula unit: -9.89
Distance to the lowest polymorph of the same formula, meV/atom: 0
Space group: Pm-3m (221)
DFT formation energy, kcal/mol of atoms: 14.3

=====

Compound: Cs2Al2Cd
Source: Alexandria
Functional: PBE-GGA
Structure: relaxed

abc: 11.0631 11.0631 3.7916
angles: 90.00 90.00 90.00
Sites, in units of the cell vectors:
Cs (0.7038, 0.7962, 0.5000)
Cs (0.2038, 0.7038, 0.5000)
Cs (0.7962, 0.2962, 0.5000)
Cs (0.2962, 0.2038, 0.5000)
Cd (0.5000, 0.5000, 0.0000)
Cd (0.0000, 0.0000, 0.0000)
Al (0.0806, 0.4194, 0.0000)
Al (0.9194, 0.5806, 0.0000)
Al (0.4194, 0.9194, 0.0000)
Al (0.5806, 0.0806, 0.0000)

Energy, eV per formula unit: -7.85
Space group: P4/mbm (127)
DFT formation energy, kcal/mol of atoms: 10.4

=====

Compound: CsAl3Cd
Source: Alexandria
Functional: PBE-GGA
Structure: relaxed

abc: 6.1849 6.1849 6.1849
angles: 90.00 90.00 90.00
Sites, in units of the cell vectors:
Al (0.5000, 0.0000, 0.0000)
Al (0.0000, 0.0000, 0.5000)
Al (0.0000, 0.5000, 0.0000)
Cs (0.0000, 0.0000, 0.0000)
Cd (0.5000, 0.5000, 0.5000)

Energy, eV per formula unit: -4.69
Distance to the lowest polymorph of the same formula, meV/atom: 1040
Space group: Pm-3m (221)
DFT formation energy, kcal/mol of atoms: 38.3

=====

Compound: Cs3AlCd
Source: Alexandria
Functional: PBE-GGA
Structure: relaxed

abc: 7.3470 7.3470 7.3470
angles: 90.00 90.00 90.00
Sites, in units of the cell vectors:
Cd (0.5000, 0.5000, 0.5000)
Cs (0.0000, 0.5000, 0.0000)
Cs (0.5000, 0.0000, 0.0000)
Cs (0.0000, 0.0000, 0.5000)
Al (0.0000, 0.0000, 0.0000)

Energy, eV per formula unit: -5.41
Space group: Pm-3m (221)
DFT formation energy, kcal/mol of atoms: 8.3

=====

Compound: CsAl2Cd
Source: Alexandria
Functional: PBE-GGA
Structure: relaxed

abc: 5.4664 5.4664 10.7516
angles: 75.27 75.27 90.00
Sites, in units of the cell vectors:
Cd (0.2500, 0.7500, 0.5000)
Cd (0.5000, 0.5000, 0.0000)
Cs (0.0000, 0.0000, 0.0000)
Cs (0.7500, 0.2500, 0.5000)
Al (0.8750, 0.6249, 0.7500)
Al (0.3751, 0.6250, 0.2500)
Al (0.3749, 0.1250, 0.2500)
Al (0.3750, 0.6251, 0.7500)

Energy, eV per formula unit: -7.86
Space group: I4_1/amd (141)
DFT formation energy, kcal/mol of atoms: 8.0

=====

Compound: CsAlCd3
Source: Alexandria
Functional: PBE-GGA
Structure: relaxed

abc: 5.5471 5.5471 5.5471
angles: 90.00 90.00 90.00
Sites, in units of the cell vectors:
Al (0.0000, 0.0000, 0.0000)
Cd (0.0000, 0.0000, 0.5000)
Cd (0.5000, 0.0000, 0.0000)
Cd (0.0000, 0.5000, 0.0000)
Cs (0.5000, 0.5000, 0.5000)

Energy, eV per formula unit: -6.80
Space group: Pm-3m (221)
DFT formation energy, kcal/mol of atoms: 2.5

=====

Compound: Cs2AlCdF6
Source: Alexandria
Functional: PBE-GGA
Structure: relaxed

abc: 6.3712 6.3758 9.0147
angles: 90.00 90.00 90.00
Each line ends with the local moment (μB).
Sites, in units of the cell vectors:
F (0.2059, 0.5446, 0.0000)  0.03
F (0.0000, 0.7503, 0.7942)  0.03
F (0.2941, 0.0441, 0.5000)  0.03
F (0.2059, 0.9559, 0.0000)  0.03
F (0.0000, 0.7503, 0.2058)  0.03
F (0.7059, 0.0441, 0.5000)  0.03
F (0.7941, 0.5446, 0.0000)  0.03
F (0.7059, 0.4554, 0.5000)  0.03
F (0.5000, 0.2497, 0.7058)  0.03
F (0.7941, 0.9559, 0.0000)  0.03
F (0.2941, 0.4554, 0.5000)  0.03
F (0.5000, 0.2497, 0.2942)  0.03
Al (0.0000, 0.7502, 0.0000)  0.01
Al (0.5000, 0.2498, 0.5000)  0.01
Cs (0.5000, 0.7499, 0.7499)  0.01
Cs (0.0000, 0.2501, 0.7501)  0.01
Cs (0.0000, 0.2501, 0.2499)  0.01
Cs (0.5000, 0.7499, 0.2501)  0.01
Cd (0.0000, 0.7499, 0.5000)  0.34
Cd (0.5000, 0.2501, 0.0000)  0.34

Energy, eV per formula unit: -45.56
Uncorrected formation energy, eV/atom: -2.80
Space group: Fm-3m (225)

=====

Compound: CsAlCd2Fe
Source: Alexandria
Functional: PBE-GGA
Structure: relaxed

abc: 5.2344 5.9855 5.2344
angles: 90.00 90.00 90.00
Each line ends with the local moment (μB).
Sites, in units of the cell vectors:
Cs (0.0000, 0.5000, 0.0000)  0.00
Cd (0.5000, 0.0000, 0.0000)  -0.05
Cd (0.0000, 0.0000, 0.5000)  -0.02
Al (0.5000, 0.5000, 0.5000)  -0.03
Fe (0.0000, 0.0000, 0.0000)  2.57

Energy, eV per formula unit: -10.53
Space group: P4/mmm (123)
DFT formation energy, kcal/mol of atoms: 20.1

=====

Compound: Cs2AlCdGe2
Source: Alexandria
Functional: PBE-GGA
Structure: relaxed

abc: 6.6106 6.4685 10.4702
angles: 107.99 108.40 90.00
Sites, in units of the cell vectors:
Cd (0.0000, 0.2500, 0.0000)
Cd (0.0000, 0.7500, 0.0000)
Ge (0.8024, 0.0794, 0.1589)
Ge (0.6435, 0.4206, 0.8411)
Ge (0.1976, 0.9206, 0.8411)
Ge (0.3565, 0.5794, 0.1589)
Al (0.5000, 0.7500, 0.0000)
Al (0.5000, 0.2500, 0.0000)
Cs (0.0719, 0.3343, 0.6687)
Cs (0.5967, 0.8343, 0.6687)
Cs (0.9281, 0.6657, 0.3313)
Cs (0.4033, 0.1657, 0.3313)

Energy, eV per formula unit: -16.28
Space group: Ibam (72)
DFT formation energy, kcal/mol of atoms: -2.6

=====

Compound: CsAlCdHg2
Source: Alexandria
Functional: PBE-GGA
Structure: relaxed

abc: 5.5134 5.5134 5.5167
angles: 90.00 90.00 90.00
Sites, in units of the cell vectors:
Hg (0.5000, 0.0000, 0.0000)
Hg (0.0000, 0.5000, 0.0000)
Cs (0.5000, 0.5000, 0.5000)
Cd (0.0000, 0.0000, 0.5000)
Al (0.0000, 0.0000, 0.0000)

Energy, eV per formula unit: -6.35
Space group: P4/mmm (123)
DFT formation energy, kcal/mol of atoms: -1.1

=====

Compound: CsAl2CdI8
Source: Alexandria
Functional: PBE-GGA
Structure: relaxed

abc: 7.6315 7.6315 11.9361
angles: 71.36 71.36 60.00
Each line ends with the local moment (μB).
Sites, in units of the cell vectors:
I (0.0555, 0.4164, 0.8197)  0.04
I (0.2917, 0.9445, 0.1803)  0.04
I (0.7083, 0.0555, 0.8197)  0.04
I (0.5836, 0.2917, 0.1803)  0.04
I (0.4164, 0.7083, 0.8197)  0.04
I (0.8285, 0.8285, 0.5146)  0.01
I (0.1715, 0.1715, 0.4854)  0.01
I (0.9445, 0.5836, 0.1803)  0.04
Cs (0.5000, 0.5000, 0.5000)  0.00
Al (0.7515, 0.7515, 0.7454)  0.01
Al (0.2485, 0.2485, 0.2546)  0.01
Cd (0.0000, 0.0000, 0.0000)  0.28

Energy, eV per formula unit: -30.56
Uncorrected formation energy, eV/atom: -0.74
Space group: R-3 (148)

=====

Compound: Cs2AlCdI6
Source: Alexandria
Functional: PBE-GGA
Structure: relaxed

abc: 8.4126 8.4126 8.4306
angles: 60.07 60.07 90.00
Sites, in units of the cell vectors:
Cs (0.7500, 0.2500, 0.5000)
Cs (0.2500, 0.7500, 0.5000)
I (0.7392, 0.7392, 0.5216)
I (0.2608, 0.2608, 0.4784)
I (0.7397, 0.7397, 0.0000)
I (0.2603, 0.7397, 0.0000)
I (0.7397, 0.2603, 0.0000)
I (0.2603, 0.2603, 0.0000)
Al (0.5000, 0.5000, 0.0000)
Cd (0.0000, 0.0000, 0.0000)

Energy, eV per formula unit: -24.85
Uncorrected formation energy, eV/atom: -0.92
Space group: I4/mmm (139)

=====

Compound: CsLa2AlCd
Source: Alexandria
Functional: PBE-GGA
Structure: relaxed

abc: 6.1733 5.1638 6.1733
angles: 90.00 90.00 90.00
Sites, in units of the cell vectors:
La (0.0000, 0.0000, 0.5000)
La (0.5000, 0.0000, 0.0000)
Cs (0.5000, 0.5000, 0.5000)
Cd (0.0000, 0.0000, 0.0000)
Al (0.0000, 0.5000, 0.0000)

Energy, eV per formula unit: -13.23
Space group: P4/mmm (123)
DFT formation energy, kcal/mol of atoms: 9.8

=====

Compound: CsNa2AlCd
Source: Alexandria
Functional: PBE-GGA
Structure: relaxed

abc: 6.0867 6.0867 5.1471
angles: 90.00 90.00 90.00
Sites, in units of the cell vectors:
Na (0.5000, 0.0000, 0.0000)
Na (0.0000, 0.5000, 0.0000)
Cd (0.0000, 0.0000, 0.0000)
Al (0.0000, 0.0000, 0.5000)
Cs (0.5000, 0.5000, 0.5000)

Energy, eV per formula unit: -7.45
Distance to the lowest polymorph of the same formula, meV/atom: 36
Space group: P4/mmm (123)
DFT formation energy, kcal/mol of atoms: 3.2

=====

Compound: CsNa2AlCd
Source: Alexandria
Functional: PBE-GGA
Structure: relaxed

abc: 6.0729 6.0729 5.2419
angles: 90.00 90.00 90.00
Sites, in units of the cell vectors:
Cs (0.5000, 0.5000, 0.5000)
Al (0.0000, 0.0000, 0.0000)
Na (0.5000, 0.0000, 0.0000)
Na (0.0000, 0.5000, 0.0000)
Cd (0.0000, 0.0000, 0.5000)

Energy, eV per formula unit: -7.63
Distance to the lowest polymorph of the same formula, meV/atom: 0
Space group: P4/mmm (123)
DFT formation energy, kcal/mol of atoms: 2.4

=====

Compound: Cs2RbAlCd
Source: Alexandria
Functional: PBE-GGA
Structure: relaxed

abc: 7.7796 5.1931 7.7796
angles: 90.00 90.00 90.00
Sites, in units of the cell vectors:
Cs (0.0000, 0.0000, 0.5000)
Cs (0.5000, 0.0000, 0.0000)
Al (0.0000, 0.0000, 0.0000)
Cd (0.0000, 0.5000, 0.0000)
Rb (0.5000, 0.5000, 0.5000)

Energy, eV per formula unit: -6.26
Space group: P4/mmm (123)
DFT formation energy, kcal/mol of atoms: 4.9

=====

Compound: CsAlTl2Cd
Source: Alexandria
Functional: PBE-GGA
Structure: relaxed

abc: 5.7975 5.7975 5.4089
angles: 90.00 90.00 90.00
Sites, in units of the cell vectors:
Tl (0.0000, 0.5000, 0.0000)
Tl (0.5000, 0.0000, 0.0000)
Cd (0.0000, 0.0000, 0.5000)
Al (0.0000, 0.0000, 0.0000)
Cs (0.5000, 0.5000, 0.5000)

Energy, eV per formula unit: -9.66
Space group: P4/mmm (123)
DFT formation energy, kcal/mol of atoms: 2.7

=====

Compound: AlCdCu2
Source: Alexandria
Functional: PBE-GGA
Structure: relaxed

abc: 4.5781 4.5781 5.0216
angles: 77.92 77.92 36.95
Sites, in units of the cell vectors:
Cu (0.4904, 0.4904, 0.5381)
Cu (0.0096, 0.0096, 0.9619)
Cd (0.2500, 0.2500, 0.2500)
Al (0.7500, 0.7500, 0.7500)

Energy, eV per formula unit: -12.68
Space group: C2/m (12)
DFT formation energy, kcal/mol of atoms: 1.0

=====

Compound: AlCdCu2
Source: Alexandria
Functional: PBE-GGA
Structure: relaxed

abc: 2.8725 2.8725 8.6946
angles: 80.49 80.49 60.00
Sites, in units of the cell vectors:
Al (0.6665, 0.6665, 0.0004)
Cd (0.5002, 0.5002, 0.4994)
Cu (0.2567, 0.2567, 0.2300)
Cu (0.0766, 0.0766, 0.7701)

Energy, eV per formula unit: -12.80
Space group: R3m (160)
DFT formation energy, kcal/mol of atoms: 0.3

=====

Compound: AlCdCu
Source: Alexandria
Functional: PBE-GGA
Structure: relaxed

abc: 4.3792 4.3792 3.0832
angles: 90.00 90.00 120.00
Sites, in units of the cell vectors:
Al (0.0000, 0.0000, 0.8313)
Cu (0.6667, 0.3333, 0.8356)
Cd (0.3333, 0.6667, 0.3332)

Energy, eV per formula unit: -8.42
Distance to the lowest polymorph of the same formula, meV/atom: 107
Space group: P3m1 (156)
DFT formation energy, kcal/mol of atoms: 2.6

=====

Compound: Al3CdCu
Source: Alexandria
Functional: PBE-GGA
Structure: relaxed

abc: 4.6614 4.6614 4.6614
angles: 90.00 90.00 90.00
Sites, in units of the cell vectors:
Cd (0.5000, 0.5000, 0.5000)
Al (0.5000, 0.0000, 0.0000)
Al (0.0000, 0.0000, 0.5000)
Al (0.0000, 0.5000, 0.0000)
Cu (0.0000, 0.0000, 0.0000)

Energy, eV per formula unit: -14.99
Distance to the lowest polymorph of the same formula, meV/atom: 0
Space group: Pm-3m (221)
DFT formation energy, kcal/mol of atoms: 5.8